Computed, not measured: a relaxed structure of Mg2ZnCd at the GGA-PBEsol level of DFT. Values from VASP.

```
&SYSTEM
  ibrav = 0, nat = 4, ntyp = 3
/
ATOMIC_SPECIES
Mg 24.30 Mg.upf
Zn 65.41 Zn.upf
Cd 112.41 Cd.upf
ATOMIC_POSITIONS angstrom
Mg 0.0000 0.0000 6.8422
Mg 0.0000 0.0000 21.0735
Zn 0.0000 0.0000 13.9579
Cd 0.0000 0.0000 0.0000
CELL_PARAMETERS angstrom
1.5636 0.9028 9.3052
-1.5636 0.9028 9.3052
0.0000 -1.8055 9.3052
```

Values from the calculation:
theoretical density = 4.8 g cm⁻³
DOS(E_F) = 1.57 states/eV/cell
space group = R-3m
energy relative to the lowest polymorph listed for this composition = 64 meV per atom
formation energy = -19 meV per atom